1.
A geometry-optimized PaCuSe2 structure, computed with PBE.

It has space group R-3m (No. 166, hexagonal axes), with a = 4.0471 Å, b = 4.0471 Å, c = 24.0224 Å, α = 90.00°, β = 90.00° and γ = 120.00°. The distinct sites, in fractional coordinates, are Pa at (0.0000, 0.0000, 0.0000), Cu at (0.0000, 0.0000, 0.5000) and Se at (0.0000, 0.0000, 0.4052).

The raw formation energy is -0.664 eV/atom. The calculated volume is 113.6 Å³/f.u. As for the total energy: -5.804 eV per atom.

***

2.
A geometry-optimized PaCuSe3 structure, computed with PBE.

It has space group Cmcm (No. 63), with a = 3.937 Å, b = 13.160 Å, c = 9.060 Å, α = 90.00°, β = 90.00° and γ = 90.00°. The distinct sites, in fractional coordinates, are Pa at (0.000, 0.239, 0.250), Cu at (0.000, 0.020, 0.750), Se at (0.000, 0.157, 0.569) and Se at (0.000, 0.415, 0.750).

The offset from the most stable computed form comes out at 0.0 meV per atom. The raw formation energy is -0.968 eV/atom. The calculated volume is 117.3 Å³/f.u. As for the total energy: -5.777 eV per atom.